No. 1
# Ce2Ni3P4Rh (PBE, relaxed)
# Formation energy from the elements in eV per atom: -1.024
# Density in g/cm³: 7.43
data_Ce2Ni3P4Rh
_symmetry_space_group_name_H-M 'P -4 m 2'
_symmetry_Int_Tables_number 115
_cell_length_a 4.093
_cell_length_b 4.093
_cell_length_c 9.118
_cell_angle_alpha 90.00
_cell_angle_beta 90.00
_cell_angle_gamma 90.00
loop_
_symmetry_equiv_pos_as_xyz
'x,y,z'
'y,-x,-z'
'-x,-y,z'
'-y,x,-z'
'-x,y,z'
'-y,-x,-z'
'x,-y,z'
'y,x,-z'
loop_
_atom_site_label
_atom_site_fract_x
_atom_site_fract_y
_atom_site_fract_z
Ce1 0.000 0.500 0.242
Ni1 0.000 0.500 0.889
Ni2 0.500 0.500 0.500
P1 0.000 0.000 0.000
P2 0.000 0.500 0.638
P3 0.500 0.500 0.000
Rh1 0.000 0.000 0.500


No. 2
# SrAl2CdTc (PBE, relaxed)
# Offset from the most stable computed form in meV per atom: 0
# Formation energy from the elements in eV per atom: -0.111
# Density in g/cm³: 4.74
data_SrAl2CdTc
_symmetry_space_group_name_H-M 'P 4/m m m'
_symmetry_Int_Tables_number 123
_symmetry_space_group_name_Hall '-P 4 2'
_cell_length_a 4.828
_cell_length_b 4.828
_cell_length_c 5.287
_cell_angle_alpha 90.00
_cell_angle_beta 90.00
_cell_angle_gamma 90.00
loop_
_atom_site_label
_atom_site_fract_x
_atom_site_fract_y
_atom_site_fract_z
Sr1 0.000 0.000 0.000
Al1 0.000 0.500 0.500
Cd1 0.500 0.500 0.000
Tc1 0.500 0.500 0.500


No. 3
# AlGa2Co2 (PBE, relaxed)
# Offset from the most stable computed form in meV per atom: 46
# Formation energy from the elements in eV per atom: -0.182
# Density in g/cm³: 7.24
data_AlGa2Co2
_symmetry_space_group_name_H-M 'P 4/m b m'
_symmetry_Int_Tables_number 127
_symmetry_space_group_name_Hall '-P 4 2ab'
_cell_length_a 6.887
_cell_length_b 6.887
_cell_length_c 2.748
_cell_angle_alpha 90.00
_cell_angle_beta 90.00
_cell_angle_gamma 90.00
loop_
_atom_site_label
_atom_site_fract_x
_atom_site_fract_y
_atom_site_fract_z
Al1 0.000 0.000 0.000
Ga1 0.132 0.368 0.000
Co1 0.167 0.667 0.500